[1]
This record from Alexandria describes a relaxed CuNi2Ag crystal. The functional is PBE.

Total moment, μB/f.u.: 0.69
SG: No. 44

Cell lengths 5.0186, 5.0186, 5.0186 Å; angles 148.02, 128.53, 61.89 degrees
Fractional positions:
Cu 0.0000 0.0000 0.0000
Ni 0.2408 0.7408 0.5000
Ni 0.4693 0.4693 0.0000
Ag 0.7344 0.2344 0.5000

[2]
This record from Alexandria describes a relaxed CuNi2Ag crystal. The functional is PBE.

Total moment, μB/f.u.: 0.61
SG: No. 139

Cell lengths 4.5909, 4.5909, 4.5909 Å; angles 132.65, 132.65, 69.21 degrees
Fractional positions:
Cu 0.0000 0.0000 0.0000
Ni 0.2500 0.7500 0.5000
Ni 0.7500 0.2500 0.5000
Ag 0.5000 0.5000 0.0000

[3]
This record from Alexandria describes a relaxed CuNi2Ag crystal. The functional is PBE.

Total moment, μB/f.u.: 0.63
SG: No. 47

Cell lengths 2.7151, 3.4138, 5.5672 Å; angles 90.00, 90.00, 90.00 degrees
Fractional positions:
Cu 0.0000 0.0000 0.0000
Ni 0.5000 0.5000 0.2213
Ni 0.5000 0.5000 0.7787
Ag 0.0000 0.0000 0.5000

[4]
This record from Alexandria describes a relaxed CuNi2Ag crystal. The functional is PBE.

Total moment, μB/f.u.: 0.62
SG: No. 119

Cell lengths 4.5253, 4.5253, 4.5253 Å; angles 131.17, 131.17, 71.54 degrees
Fractional positions:
Cu 0.0000 0.0000 0.0000
Ni 0.5000 0.5000 0.0000
Ni 0.7500 0.2500 0.5000
Ag 0.2500 0.7500 0.5000

[5]
This record from Alexandria describes a relaxed CuNi2Ag crystal. The functional is PBE.

Total moment, μB/f.u.: 0.40
SG: No. 166

Cell lengths 8.6654, 8.6654, 8.6654 Å; angles 17.56, 17.56, 17.56 degrees
Fractional positions:
Cu 0.0000 0.0000 0.0000
Ni 0.2555 0.2555 0.2555
Ni 0.7445 0.7445 0.7445
Ag 0.5000 0.5000 0.5000

[6]
This record from Alexandria describes a relaxed CuNi2Ag crystal. The functional is PBE.

Total moment, μB/f.u.: 0.79
SG: No. 160

Cell lengths 8.7050, 8.7050, 8.7050 Å; angles 17.49, 17.49, 17.49 degrees
Fractional positions:
Cu 0.0000 0.0000 0.0000
Ni 0.4862 0.4862 0.4862
Ni 0.7446 0.7446 0.7446
Ag 0.2423 0.2423 0.2423

| no. | formation enthalpy at 0 K (eV per atom) |
| --- | --- |
| 1 | 0.2261 |
| 2 | 0.2208 |
| 3 | 0.2086 |
| 4 | 0.2055 |
| 5 | 0.1880 |
| 6 | 0.1818 |